# TiCrAs3 (PBEsol, relaxed)
# DOS at the Fermi energy: 3.0 states/eV per cell
# Calculated density: 4.9 g/cm³
# DFT total energy: -6.32 eV/atom
# Energy of formation: 0.46 eV/atom
data_TiCrAs3
_chemical_formula_sum 'Ti1 Cr1 As3'
_cell_length_a 4.7870
_cell_length_b 4.7870
_cell_length_c 4.7870
_cell_angle_alpha 90.00
_cell_angle_beta 90.00
_cell_angle_gamma 90.00
_symmetry_space_group_name_H-M 'P m -3 m'
_symmetry_Int_Tables_number 221
_symmetry_space_group_name_Hall '-P 4 2 3'
loop_
_atom_site_label
_atom_site_type_symbol
_atom_site_fract_x
_atom_site_fract_y
_atom_site_fract_z
Ti1 Ti 0.0000 0.0000 0.0000
Cr1 Cr 0.5000 0.5000 0.5000
As1 As 0.0000 0.0000 0.5000